Entry 1:
Compound: ErTiTlAu
Source: Alexandria
Functional: PBE
Structure: optimized geometry

abc: 7.0462 7.0462 7.0462
angles: 90.00 90.00 90.00
Last column: nearest neighbours and their distance in Å.
Space group F-43m (No. 216)
One atom of each set of equivalent atoms:
Er: 0.0000 0.0000 0.0000 x4  4 Tl 3.05, 4 Au 3.05
Ti: 0.0000 0.0000 0.5000 x4  4 Tl 3.05, 4 Au 3.05
Tl: 0.2500 0.2500 0.2500 x4  4 Er 3.05, 4 Ti 3.05
Au: 0.2500 0.2500 0.7500 x4  4 Er 3.05, 4 Ti 3.05

Summary:
Calculated total energy, eV/atom: -4.79
Energy of formation, kcal/mol of atoms: -6.15

Entry 2:
Compound: Li2YV
Source: Alexandria
Functional: PBE
Structure: optimized geometry

abc: 4.0858 4.0858 21.6729
angles: 90.00 90.00 90.00
Last column: nearest neighbours and their distance in Å.
Space group I-42d (No. 122)
One atom of each set of equivalent atoms:
Li: 0.2046 0.7500 0.1250 x8  2 Li 2.64
Y: 0.0000 0.0000 0.5000 x4  4 V 2.89, 4 Li 3.14
V: 0.0000 0.0000 0.0000 x4  4 Y 2.89, 4 Li 3.01

Summary:
Distance to the lowest polymorph of the same formula, eV/atom: 0.1102
Calculated total energy, eV/atom: -4.26
Energy of formation, kcal/mol of atoms: 13.55

Entry 3:
Compound: Ac4CuAg
Source: Alexandria
Functional: PBE
Structure: optimized geometry

abc: 5.3922 5.3898 7.7204
angles: 90.00 90.02 90.00
Last column: nearest neighbours and their distance in Å.
Space group Pm (No. 6)
One atom of each set of equivalent atoms:
Ac: 0.0000 0.0000 0.0000 x1  2 Cu 3.26, 2 Ag 3.37
Ac: 0.0009 0.0000 0.5246 x1  2 Cu 3.26, 2 Ag 3.37
Ac: 0.5001 0.5000 0.0000 x1  2 Cu 3.25-3.26, 2 Ag 3.37
Ac: 0.5009 0.5000 0.5247 x1  2 Cu 3.26, 2 Ag 3.37
Cu: 0.0010 0.5000 0.7630 x1  8 Ac 3.25-3.26
Ag: 0.5004 0.0000 0.2623 x1  8 Ac 3.37

Summary:
Distance to the lowest polymorph of the same formula, eV/atom: 0.1920
Calculated total energy, eV/atom: -3.80
Energy of formation, kcal/mol of atoms: 2.22

Copy entry 2 word for word.
Compound: Li2YV
Source: Alexandria
Functional: PBE
Structure: optimized geometry

abc: 4.0858 4.0858 21.6729
angles: 90.00 90.00 90.00
Last column: nearest neighbours and their distance in Å.
Space group I-42d (No. 122)
One atom of each set of equivalent atoms:
Li: 0.2046 0.7500 0.1250 x8  2 Li 2.64
Y: 0.0000 0.0000 0.5000 x4  4 V 2.89, 4 Li 3.14
V: 0.0000 0.0000 0.0000 x4  4 Y 2.89, 4 Li 3.01

Summary:
Distance to the lowest polymorph of the same formula, eV/atom: 0.1102
Calculated total energy, eV/atom: -4.26
Energy of formation, kcal/mol of atoms: 13.55

> Which of these has the highest energy of formation?

Li2YV